A relaxed VBi3Se crystal. Source: the Alexandria database, functional PBE.

a b c (Å): 5.225 5.225 5.225
angles (deg): 90.00 90.00 90.00
Each line ends with the local moment (μB).
Fractional positions:
Bi (0.000, 0.000, 0.500)  -0.02
Bi (0.000, 0.500, 0.000)  -0.02
Bi (0.500, 0.000, 0.000)  -0.02
V (0.000, 0.000, 0.000)  0.17
Se (0.500, 0.500, 0.500)  -0.01

Results
E_tot: -4.5543 eV per atom
E_form (uncorrected): 0.2949 eV/atom
Fermi-level density of states: 2.9 states/eV/f.u.
space group: Pm-3m, No. 221
ΔE to the lowest computed polymorph: 0.0 kJ per mole of atoms
calculated density: 8.810 Mg/m³
V: 142.65 Å³ per cell